1.
PBE GaSn3Ge, optimized geometry; E = -3.41 eV per atom; E above lowest polymorph = 0.000 eV/atom
1.0
5.3705 0.0000 0.0000
0.0000 5.3705 0.0000
0.0000 0.0000 5.3705
Ga Sn Ge
1 3 1
Direct
0.0000 0.0000 0.0000
0.0000 0.5000 0.5000
0.5000 0.0000 0.5000
0.5000 0.5000 0.0000
0.5000 0.5000 0.5000

***

2.
PBE Ga4SnGe, optimized geometry; E = -3.30 eV per atom
1.0
0.0000 3.9630 3.9630
3.9630 0.0000 3.9630
3.9630 3.9630 0.0000
Ga Sn Ge
4 1 1
Direct
0.1245 0.1245 0.1245
0.1245 0.1245 0.6264
0.1245 0.6264 0.1245
0.6264 0.1245 0.1245
0.5000 0.5000 0.5000
0.7500 0.7500 0.7500

***

Energy of formation from the pure elements for the records above, in order: 0.525, 0.154 eV/atom